## RbMo (PBE)

Data for a relaxed RbMo crystal.

Properties
The total magnetic moment is 0.000 μB per formula unit. The energy above the most stable polymorph in this dataset comes out at 1.43 eV per formula unit. As for the symmetry: No. 136. The total energy comes out at -4.167 eV/atom. As for the formation energy: 1732 meV/atom.

Unit cell a=7.6755 b=7.6755 c=7.4750 alpha=90.00 beta=90.00 gamma=90.00
Closest atoms and distances in Å follow each position.
Positions (direct):
Rb  0.1719  0.1719  0.0000  4 Mo 3.70-3.84, 1 Rb 3.73
Rb  0.3281  0.6719  0.5000  4 Mo 3.70-3.84, 1 Rb 3.73
Rb  0.6719  0.3281  0.5000  4 Mo 3.70-3.84, 1 Rb 3.73
Rb  0.8281  0.8281  0.0000  4 Mo 3.70-3.84, 1 Rb 3.73
Mo  0.0921  0.0921  0.5000  1 Mo 2.00
Mo  0.4079  0.5921  0.0000  1 Mo 2.00
Mo  0.5921  0.4079  0.0000  1 Mo 2.00
Mo  0.9079  0.9079  0.5000  1 Mo 2.00